# 1
A plane-wave DFT calculation with PBE-GGA was carried out for Er2Tc2O7 after structural relaxation.

Lattice parameters (Å, degrees): 5.1151 5.0987 5.1151 90.00 91.83 90.00
Fractional positions:
O 0.5001 0.7623 0.0000
O 0.0000 0.7623 0.4999
O 0.5000 0.7734 0.5000
O 0.0000 0.2377 0.5001
O 0.4999 0.2377 0.0000
O 0.0000 0.0000 0.0000
O 0.5000 0.2266 0.5000
Er 0.7366 0.5000 0.7366
Er 0.2634 0.5000 0.2634
Tc 0.2604 0.0000 0.7396
Tc 0.7396 0.0000 0.2604

As for the total moment: 0.00 μB per formula unit. For the energy above the most stable polymorph in this dataset, the calculation gives 0.325 eV/atom. The space group is Cmmm (65). Its crystal system is orthorhombic. The calculation puts the uncorrected formation energy at -2063 meV per atom.

---

# 2
A plane-wave DFT calculation with PBE-GGA was carried out for Er3TcO after structural relaxation.

Lattice parameters (Å, degrees): 4.6211 4.6211 4.6211 90.00 90.00 90.00
Fractional positions:
Er 0.0000 0.0000 0.5000
Er 0.0000 0.5000 0.0000
Er 0.5000 0.0000 0.0000
O 0.0000 0.0000 0.0000
Tc 0.5000 0.5000 0.5000

As for the total moment: 0.00 μB per formula unit. The space group is Pm-3m (221). Its crystal system is cubic. The calculation puts the uncorrected formation energy at -1092 meV per atom.

---

# 3
A plane-wave DFT calculation with PBE-GGA was carried out for Er2TcO6 after structural relaxation.

Lattice parameters (Å, degrees): 4.9558 4.9558 9.8978 90.00 90.00 90.00
Last column: magnetic moment on the atom in μB.
Fractional positions:
Er 0.5000 0.5000 0.8285  0.05
Er 0.5000 0.5000 0.1715  0.05
Er 0.0000 0.0000 0.3285  0.05
Er 0.0000 0.0000 0.6715  0.05
O 0.3123 0.3123 0.3520  0.04
O 0.2710 0.2710 0.0000  -0.02
O 0.8123 0.1877 0.1480  0.04
O 0.7290 0.7290 0.0000  -0.02
O 0.1877 0.8123 0.1480  0.04
O 0.2290 0.7710 0.5000  -0.02
O 0.8123 0.1877 0.8520  0.04
O 0.3123 0.3123 0.6480  0.04
O 0.7710 0.2290 0.5000  -0.02
O 0.1877 0.8123 0.8520  0.04
O 0.6877 0.6877 0.6480  0.04
O 0.6877 0.6877 0.3520  0.04
Tc 0.5000 0.5000 0.5000  0.79
Tc 0.0000 0.0000 0.0000  0.79

As for the total moment: 1.01 μB per formula unit. The space group is P4_2/mnm (136). Its crystal system is tetragonal. The calculation puts the uncorrected formation energy at -2544 meV per atom.

---

# 4
A plane-wave DFT calculation with PBE-GGA was carried out for Er3TcO7 after structural relaxation.

Lattice parameters (Å, degrees): 6.4235 6.4235 7.3591 90.00 90.00 108.51
Last column: magnetic moment on the atom in μB.
Fractional positions:
O 0.6939 0.9535 0.5422  0.06
O 0.3287 0.0824 0.4760  0.04
O 0.3701 0.6299 0.2500  0.00
O 0.6299 0.3701 0.7500  0.00
O 0.3061 0.0465 0.0422  0.06
O 0.3618 0.6382 0.7500  0.00
O 0.9259 0.0741 0.2500  0.05
O 0.6713 0.9176 0.9760  0.04
O 0.0741 0.9259 0.7500  0.05
O 0.0824 0.3287 0.5240  0.04
O 0.9176 0.6713 0.0240  0.04
O 0.9535 0.6939 0.4578  0.06
O 0.0465 0.3061 0.9578  0.06
O 0.6382 0.3618 0.2500  0.00
Er 0.4570 0.4570 0.5000  0.01
Er 0.0000 0.4625 0.2415  0.05
Er 0.5375 0.0000 0.2585  0.05
Er 0.5430 0.5430 0.0000  0.01
Er 0.0000 0.5375 0.7415  0.05
Er 0.4625 0.0000 0.7585  0.05
Tc 0.9973 0.9973 0.5000  1.54
Tc 0.0027 0.0027 0.0000  1.54

As for the total moment: 2.00 μB per formula unit. The space group is C222_1 (20). Its crystal system is orthorhombic. The calculation puts the uncorrected formation energy at -2919 meV per atom.

---

# 5
A plane-wave DFT calculation with PBE-GGA was carried out for ErTiTcO6 after structural relaxation.

Lattice parameters (Å, degrees): 5.2563 5.2563 8.7917 90.00 90.00 120.00
Last column: magnetic moment on the atom in μB.
Fractional positions:
O 0.3404 0.0409 0.1231  0.04
O 0.9591 0.6596 0.3769  0.04
O 0.7005 0.0409 0.3769  0.04
O 0.0409 0.3404 0.6231  0.04
O 0.3404 0.2995 0.3769  0.04
O 0.7005 0.6596 0.1231  0.04
O 0.6596 0.9591 0.8769  0.04
O 0.9591 0.2995 0.1231  0.04
O 0.2995 0.3404 0.8769  0.04
O 0.0409 0.7005 0.8769  0.04
O 0.2995 0.9591 0.6231  0.04
O 0.6596 0.7005 0.6231  0.04
Tc 0.3333 0.6667 0.7500  1.34
Tc 0.6667 0.3333 0.2500  1.34
Ti 0.0000 0.0000 0.0000  0.16
Ti 0.0000 0.0000 0.5000  0.16
Er 0.6667 0.3333 0.7500  0.03
Er 0.3333 0.6667 0.2500  0.03

As for the total moment: 1.95 μB per formula unit. The space group is P-31c (163). Its crystal system is trigonal. The calculation puts the uncorrected formation energy at -2389 meV per atom.

---

# 6
A plane-wave DFT calculation with PBE-GGA was carried out for ErTlTc2O8 after structural relaxation.

Lattice parameters (Å, degrees): 5.9919 5.9919 7.7340 90.00 90.00 120.00
Last column: magnetic moment on the atom in μB.
Fractional positions:
Tc 0.6667 0.3333 0.2469  0.64
Tc 0.3333 0.6667 0.7531  0.64
O 0.8320 0.6601 0.3248  0.04
O 0.1719 0.8320 0.6752  0.04
O 0.3333 0.6667 0.9788  0.08
O 0.6667 0.3333 0.0212  0.08
O 0.8281 0.1680 0.3248  0.04
O 0.6601 0.8281 0.6752  0.04
O 0.1680 0.3399 0.6752  0.04
O 0.3399 0.1719 0.3248  0.04
Tl 0.0000 0.0000 0.0000  0.01
Er 0.0000 0.0000 0.5000  0.09

As for the total moment: 2.03 μB per formula unit. The space group is P-3 (147). Its crystal system is trigonal. The calculation puts the uncorrected formation energy at -1766 meV per atom.

---

# 7
A plane-wave DFT calculation with PBE-GGA was carried out for ErTl2TcO6 after structural relaxation.

Lattice parameters (Å, degrees): 5.7289 6.4611 6.4611 120.00 90.00 90.00
Fractional positions:
O 0.7949 0.1353 0.8647
O 0.2051 0.8647 0.7293
O 0.2051 0.8647 0.1353
O 0.7949 0.7293 0.8647
O 0.7949 0.1353 0.2707
O 0.2051 0.2707 0.1353
Tl 0.0244 0.3333 0.6667
Tl 0.9756 0.6667 0.3333
Er 0.5000 0.0000 0.0000
Tc 0.0000 0.0000 0.0000

As for the total moment: 0.00 μB per formula unit. The space group is P-3m1 (164). Its crystal system is trigonal. The calculation puts the uncorrected formation energy at -1536 meV per atom.

---

# 8
A plane-wave DFT calculation with PBE-GGA was carried out for ErTlTcO6 after structural relaxation.

Lattice parameters (Å, degrees): 5.5147 5.5147 4.7881 90.00 90.00 60.00
Fractional positions:
O 0.0387 0.6135 0.7277
O 0.6136 0.3477 0.7277
O 0.3477 0.0387 0.7277
O 0.0387 0.3478 0.2723
O 0.6135 0.0387 0.2723
O 0.3477 0.6136 0.2723
Tc 0.3333 0.3333 0.5000
Er 0.6666 0.6667 0.5000
Tl 0.0000 0.0000 0.0000

As for the total moment: 0.00 μB per formula unit. The space group is P312 (149). Its crystal system is trigonal. The calculation puts the uncorrected formation energy at -1689 meV per atom.

---

# 9
A plane-wave DFT calculation with PBE-GGA was carried out for YEr2TcO8 after structural relaxation.

Lattice parameters (Å, degrees): 5.0174 5.0131 6.7078 90.00 90.00 90.59
Fractional positions:
Er 0.5000 0.5000 0.7482
Er 0.5000 0.5000 0.2518
O 0.2712 0.2701 0.0000
O 0.3091 0.3078 0.5000
O 0.1830 0.8159 0.2072
O 0.7288 0.7299 0.0000
O 0.8170 0.1842 0.2072
O 0.6909 0.6922 0.5000
O 0.8170 0.1841 0.7928
O 0.1830 0.8158 0.7928
Y 0.0000 0.0000 0.5000
Tc 0.0000 0.0000 0.0000

As for the total moment: 0.00 μB per formula unit. The space group is Cmmm (65). Its crystal system is orthorhombic. The calculation puts the uncorrected formation energy at -2651 meV per atom.

---

# 10
A plane-wave DFT calculation with PBE-GGA was carried out for Er2Te4O11 after structural relaxation.

Lattice parameters (Å, degrees): 6.7225 6.7225 16.3184 76.12 76.12 45.00
Fractional positions:
Te 0.8460 0.4115 0.1241
Te 0.4115 0.8460 0.6241
Te 0.8393 0.4035 0.8029
Te 0.4035 0.8393 0.3029
Te 0.5885 0.1540 0.3759
Te 0.1607 0.5965 0.1971
Te 0.5965 0.1607 0.6971
Te 0.1540 0.5885 0.8759
O 0.8515 0.1485 0.7500
O 0.5973 0.4495 0.9049
O 0.7542 0.6625 0.5508
O 0.1731 0.9643 0.5444
O 0.7953 0.9069 0.1657
O 0.4495 0.5973 0.4049
O 0.8269 0.0357 0.4556
O 0.0357 0.8269 0.9556
O 0.0931 0.2047 0.3343
O 0.1485 0.8515 0.2500
O 0.5505 0.4027 0.5951
O 0.6855 0.8067 0.3740
O 0.2458 0.3375 0.4492
O 0.3145 0.1933 0.6260
O 0.4027 0.5505 0.0951
O 0.3375 0.2458 0.9492
O 0.1933 0.3145 0.1260
O 0.6625 0.7542 0.0508
O 0.8067 0.6855 0.8740
O 0.9069 0.7953 0.6657
O 0.2047 0.0931 0.8343
O 0.9643 0.1731 0.0444
Er 0.8710 0.3676 0.4628
Er 0.6324 0.1290 0.0372
Er 0.1290 0.6324 0.5372
Er 0.3676 0.8710 0.9628

As for the total moment: 0.00 μB per formula unit. The space group is C2/c (15). Its crystal system is monoclinic. The calculation puts the uncorrected formation energy at -1856 meV per atom.

---

# 11
A plane-wave DFT calculation with PBE-GGA was carried out for Er2TeO after structural relaxation.

Lattice parameters (Å, degrees): 3.7417 3.7417 7.0702 74.66 74.66 60.00
Fractional positions:
Er 0.7268 0.7268 0.8196
Er 0.2732 0.2732 0.1804
O 0.0000 0.0000 0.0000
Te 0.5000 0.5000 0.5000

As for the total moment: 0.00 μB per formula unit. The space group is R-3m (166). Its crystal system is trigonal. The calculation puts the uncorrected formation energy at -1845 meV per atom.

---

# 12
A plane-wave DFT calculation with PBE-GGA was carried out for Er2TeO6 after structural relaxation.

Lattice parameters (Å, degrees): 5.4797 5.6544 8.2611 90.00 95.87 90.00
Fractional positions:
O 0.3277 0.6145 0.8002
O 0.3513 0.7579 0.1175
O 0.6723 0.3855 0.1998
O 0.1487 0.2579 0.3825
O 0.2834 0.8163 0.4542
O 0.7834 0.6837 0.9542
O 0.1723 0.1145 0.6998
O 0.8513 0.7421 0.6175
O 0.6487 0.2421 0.8825
O 0.7166 0.1837 0.5458
O 0.8277 0.8855 0.3002
O 0.2166 0.3163 0.0458
Te 0.0000 0.0000 0.5000
Te 0.5000 0.5000 0.0000
Er 0.0395 0.5659 0.2307
Er 0.9605 0.4341 0.7693
Er 0.4605 0.0659 0.2693
Er 0.5395 0.9341 0.7307

As for the total moment: 0.00 μB per formula unit. For the energy above the most stable polymorph in this dataset, the calculation gives 0.058 eV/atom. The space group is P2_1/c (14). Its crystal system is monoclinic. The calculation puts the uncorrected formation energy at -2516 meV per atom.

---

# 13
A plane-wave DFT calculation with PBE-GGA was carried out for Er2TeO2 after structural relaxation.

Lattice parameters (Å, degrees): 3.9018 3.9018 6.7891 106.70 106.70 90.00
Fractional positions:
Te 0.0000 0.0000 0.0000
O 0.2500 0.7500 0.5000
O 0.7500 0.2500 0.5000
Er 0.6634 0.6634 0.3267
Er 0.3366 0.3366 0.6733

As for the total moment: 0.00 μB per formula unit. The space group is I4/mmm (139). Its crystal system is tetragonal. The calculation puts the uncorrected formation energy at -2975 meV per atom.

---

# 14
A plane-wave DFT calculation with PBE-GGA was carried out for Er6TeO12 after structural relaxation.

Lattice parameters (Å, degrees): 6.4357 6.4357 6.4357 98.73 98.73 98.73
Fractional positions:
O 0.9643 0.2995 0.0732
O 0.0357 0.7005 0.9268
O 0.5682 0.4080 0.8226
O 0.7005 0.9268 0.0357
O 0.2995 0.0732 0.9643
O 0.5920 0.1774 0.4318
O 0.8226 0.5682 0.4080
O 0.4318 0.5920 0.1774
O 0.0732 0.9643 0.2995
O 0.1774 0.4318 0.5920
O 0.9268 0.0357 0.7005
O 0.4080 0.8226 0.5682
Er 0.1450 0.6100 0.3170
Er 0.8550 0.3900 0.6830
Er 0.6830 0.8550 0.3900
Er 0.6100 0.3170 0.1450
Er 0.3170 0.1450 0.6100
Er 0.3900 0.6830 0.8550
Te 0.0000 0.0000 0.0000

As for the total moment: 0.00 μB per formula unit. For the energy above the most stable polymorph in this dataset, the calculation gives 0.000 eV/atom. The space group is R-3 (148). Its crystal system is trigonal. The calculation puts the uncorrected formation energy at -3170 meV per atom.

---

# 15
A plane-wave DFT calculation with PBE-GGA was carried out for ErTeO after structural relaxation.

Lattice parameters (Å, degrees): 6.0888 6.4659 6.3453 105.03 90.00 90.00
Fractional positions:
O 0.0014 0.2462 0.4988
O 0.5014 0.2538 0.5012
O 0.9986 0.7538 0.5012
O 0.4986 0.7462 0.4988
Te 0.7846 0.3767 0.0385
Te 0.2154 0.6233 0.9615
Te 0.7154 0.8767 0.0385
Te 0.2846 0.1233 0.9615
Er 0.2508 0.9755 0.4012
Er 0.7492 0.0245 0.5988
Er 0.2493 0.4755 0.4013
Er 0.7507 0.5245 0.5987

As for the total moment: 0.00 μB per formula unit. The space group is P2_1/c (14). Its crystal system is monoclinic. The calculation puts the uncorrected formation energy at -2187 meV per atom.

---

# 16
A plane-wave DFT calculation with PBE-GGA was carried out for ErTe2O6 after structural relaxation.

Lattice parameters (Å, degrees): 7.7238 6.9894 6.9894 71.22 67.94 67.94
Fractional positions:
O 0.2261 0.3992 0.8857
O 0.4001 0.0570 0.1783
O 0.0114 0.7290 0.6135
O 0.5114 0.6135 0.7290
O 0.9886 0.2710 0.3865
O 0.4886 0.3865 0.2710
O 0.7739 0.6008 0.1143
O 0.5999 0.9430 0.8217
O 0.9001 0.1783 0.0570
O 0.2739 0.1143 0.6008
O 0.0999 0.8217 0.9430
O 0.7261 0.8857 0.3992
Te 0.7661 0.3310 0.2787
Te 0.2661 0.2787 0.3310
Te 0.2339 0.6690 0.7213
Te 0.7339 0.7213 0.6690
Er 0.2500 0.0753 0.9247
Er 0.7500 0.9247 0.0753

As for the total moment: 0.00 μB per formula unit. The space group is C2/c (15). Its crystal system is monoclinic. The calculation puts the uncorrected formation energy at -1636 meV per atom.

---

# 17
A plane-wave DFT calculation with PBE-GGA was carried out for ErTeO after structural relaxation.

Lattice parameters (Å, degrees): 3.5993 3.5993 6.5316 90.00 90.00 120.00
Fractional positions:
Er 0.6667 0.3333 0.4297
O 0.3333 0.6667 0.5180
Te 0.0000 0.0000 0.0523

As for the total moment: 0.00 μB per formula unit. The space group is P3m1 (156). Its crystal system is trigonal. The calculation puts the uncorrected formation energy at -2199 meV per atom.

---

# 18
A plane-wave DFT calculation with PBE-GGA was carried out for Er2TeO2 after structural relaxation.

Lattice parameters (Å, degrees): 3.8751 3.8751 7.1749 90.00 90.00 120.00
Fractional positions:
Er 0.6667 0.3333 0.1941
Er 0.3333 0.6667 0.8059
Te 0.0000 0.0000 0.5000
O 0.3333 0.6667 0.1194
O 0.6667 0.3333 0.8806

As for the total moment: 0.00 μB per formula unit. The space group is P-3m1 (164). Its crystal system is trigonal. The calculation puts the uncorrected formation energy at -2897 meV per atom.

---

# 19
A plane-wave DFT calculation with PBE-GGA was carried out for Er4Te3O after structural relaxation.

Lattice parameters (Å, degrees): 6.0922 7.9629 9.6310 90.00 90.00 90.00
Fractional positions:
Te 0.5785 0.3611 0.7552
Te 0.0785 0.6389 0.7448
Te 0.5943 0.7540 0.0000
Te 0.0785 0.6389 0.2552
Te 0.0943 0.2460 0.5000
Te 0.5785 0.3611 0.2448
Er 0.0743 0.2431 0.1956
Er 0.5851 0.1282 0.0000
Er 0.5889 0.1265 0.5000
Er 0.0851 0.8718 0.5000
Er 0.0743 0.2431 0.8044
Er 0.0889 0.8735 0.0000
Er 0.5743 0.7569 0.6956
Er 0.5743 0.7569 0.3044
O 0.4415 0.8619 0.5000
O 0.9415 0.1381 0.0000

As for the total moment: 0.00 μB per formula unit. The space group is Pmn2_1 (31). Its crystal system is orthorhombic. The calculation puts the uncorrected formation energy at -1480 meV per atom.